P:
YTlW, optimized geometry, DFT PBE; spin magnetization = 0.873 μB per atom; density = 9.28 g cm⁻³; space group = No. 216
1.0
-2.279 3.022 -3.177
-4.305 2.090 1.233
-0.217 4.850 0.925
Tl W Y
1 1 1
Direct
0.000 0.000 0.000
0.500 0.500 0.500
0.750 0.750 0.750

Q:
YTlW, optimized geometry, DFT PBE; spin magnetization = 0.000 μB per atom; density = 11.73 g cm⁻³; space group = No. 44
1.0
5.786 0.001 -0.020
3.494 4.612 0.020
-4.421 -2.747 2.527
Tl W Y
1 1 1
Direct
0.984 0.984 0.000
0.341 0.341 0.000
0.675 0.675 0.000

R:
YTlW, optimized geometry, DFT PBE; spin magnetization = 0.000 μB per atom; density = 11.84 g cm⁻³; space group = No. 107
1.0
-0.948 3.429 6.500
-4.759 3.576 4.412
2.281 -5.390 -4.544
Tl W Y
1 1 1
Direct
0.990 0.990 0.000
0.334 0.334 0.000
0.676 0.676 0.000

S:
YTlW, optimized geometry, DFT PBE; spin magnetization = 0.120 μB per atom; density = 11.70 g cm⁻³; space group = No. 187
1.0
-4.556 -2.090 -0.723
2.942 -1.592 3.802
-1.249 2.086 1.840
Tl W Y
1 1 1
Direct
0.000 0.000 0.167
0.333 0.667 0.167
0.667 0.333 0.667

Which one sits at the top of the stability order? R does.

P:
YTlW3, optimized geometry, DFT PBE; spin magnetization = 0.000 μB per atom; density = 11.11 g cm⁻³; space group = No. 221
1.0
5.017 0.000 0.000
0.000 5.017 0.000
0.000 0.000 5.017
Y Tl W
1 1 3
Direct
0.500 0.500 0.500
0.000 0.000 0.000
0.000 0.500 0.000
0.000 0.000 0.500
0.500 0.000 0.000

Q:
YTlW3, optimized geometry, DFT PBE; spin magnetization = 0.000 μB per atom; density = 11.92 g cm⁻³; space group = No. 221
1.0
-0.628 2.356 -4.251
0.925 -4.150 -2.437
-4.771 -1.115 0.087
Y Tl W
1 1 3
Direct
0.000 0.000 0.000
0.500 0.500 0.500
0.000 0.500 0.000
0.000 0.000 0.500
0.500 0.000 0.000

Which one sits at the top of the stability order? P does.

P:
Tl2ZnW, optimized geometry, DFT PBE; spin magnetization = 0.000 μB per atom; density = 13.84 g cm⁻³; space group = No. 119
1.0
-0.351 3.261 -4.501
1.799 -2.065 -4.849
-3.357 -1.625 4.136
Tl W Zn
2 1 1
Direct
0.000 0.000 0.000
0.250 0.750 0.500
0.500 0.500 0.000
0.750 0.250 0.500

Q:
Tl2ZnW, optimized geometry, DFT PBE; spin magnetization = 0.000 μB per atom; density = 12.40 g cm⁻³; space group = No. 122
1.0
-0.994 -3.854 -1.317
-0.027 -1.349 3.969
-10.255 -0.329 2.034
Tl Zn W
4 2 2
Direct
0.636 0.125 0.250
0.114 0.625 0.250
0.375 0.364 0.750
0.875 0.886 0.750
0.500 0.500 0.000
0.250 0.750 0.500
0.000 0.000 0.000
0.750 0.250 0.500

R:
Tl2ZnW, optimized geometry, DFT PBE; spin magnetization = 0.002 μB per atom; density = 13.40 g cm⁻³; space group = No. 166
1.0
-4.973 -1.827 -8.002
-2.366 -3.507 -8.614
-4.690 -4.769 -6.882
Tl W Zn
2 1 1
Direct
0.001 0.001 0.001
0.499 0.499 0.499
0.250 0.250 0.250
0.750 0.750 0.750

Which one sits at the top of the stability order? R does.

P:
Tl2ZnW, optimized geometry, DFT PBE; spin magnetization = 0.000 μB per atom; density = 13.20 g cm⁻³; space group = No. 6
1.0
-3.575 1.312 -2.919
-0.557 -3.003 -0.667
-3.828 -1.796 3.882
Tl W Zn
2 1 1
Direct
0.000 0.961 0.953
0.500 0.283 0.311
0.000 0.694 0.486
0.500 0.562 0.750

Q:
Tl2ZnW, optimized geometry, DFT PBE; spin magnetization = 0.000 μB per atom; density = 13.31 g cm⁻³; space group = No. 123
1.0
-4.060 -1.180 3.131
1.274 -5.097 -0.269
1.745 0.311 2.380
Tl W Zn
2 1 1
Direct
0.000 0.000 0.000
0.500 0.500 0.000
0.500 0.000 0.500
0.000 0.500 0.500

Which one sits at the top of the stability order? P does.

P:
Tl2ZnW, optimized geometry, DFT PBE; spin magnetization = 0.000 μB per atom; density = 13.17 g cm⁻³; space group = No. 8
1.0
-4.022 -3.319 2.742
-4.203 -4.128 -0.077
2.476 -4.345 1.089
Tl W Zn
2 1 1
Direct
0.988 0.988 0.051
0.775 0.775 0.686
0.527 0.527 0.535
0.210 0.210 0.228

Q:
Tl2ZnW, optimized geometry, DFT PBE; spin magnetization = 0.000 μB per atom; density = 12.99 g cm⁻³; space group = No. 65
1.0
-1.375 0.474 2.683
2.682 -1.383 0.455
4.290 8.545 0.689
Tl W Zn
2 1 1
Direct
0.000 0.000 0.002
0.000 0.000 0.498
0.500 0.500 0.250
0.500 0.500 0.750

Which one sits at the top of the stability order? P does.

P:
Tl2ZnW, optimized geometry, DFT PBE; spin magnetization = 0.000 μB per atom; density = 13.57 g cm⁻³; space group = No. 123
1.0
-2.496 0.532 2.658
-1.036 -3.526 -0.268
4.030 -1.494 4.084
Tl W Zn
2 1 1
Direct
0.000 0.000 0.002
0.000 0.000 0.498
0.500 0.500 0.250
0.500 0.500 0.750

Q:
Tl2ZnW, optimized geometry, DFT PBE; spin magnetization = 0.000 μB per atom; density = 12.52 g cm⁻³; space group = No. 99
1.0
2.965 0.000 0.000
0.000 2.965 0.000
0.000 0.000 9.934
Tl W Zn
2 1 1
Direct
0.000 0.000 0.968
0.500 0.500 0.286
0.000 0.000 0.534
0.500 0.500 0.712

R:
Tl2ZnW, optimized geometry, DFT PBE; spin magnetization = 0.511 μB per atom; density = 12.87 g cm⁻³; space group = No. 225
1.0
1.915 -3.288 3.141
0.253 1.045 4.815
-2.930 -2.358 3.193
Tl Zn W
2 1 1
Direct
0.250 0.250 0.250
0.750 0.750 0.750
0.000 0.000 0.000
0.500 0.500 0.500

S:
Tl2ZnW, optimized geometry, DFT PBE; spin magnetization = 0.000 μB per atom; density = 13.12 g cm⁻³; space group = No. 47
1.0
-2.702 -1.224 -0.174
0.465 -0.254 -5.441
2.088 -4.663 0.396
Tl W Zn
2 1 1
Direct
0.000 0.000 0.000
0.500 0.500 0.000
0.500 0.000 0.500
0.000 0.500 0.500

Which one sits at the top of the stability order? Q does.

P:
TlZnW2, optimized geometry, DFT PBE; spin magnetization = 0.000 μB per atom; density = 15.34 g cm⁻³; space group = No. 71
1.0
-4.896 -1.403 -1.953
-2.017 -4.877 1.379
1.809 4.814 1.819
Tl W Zn
1 2 1
Direct
0.250 0.750 0.500
0.993 0.993 0.000
0.507 0.507 0.000
0.750 0.250 0.500

Q:
TlZnW2, optimized geometry, DFT PBE; spin magnetization = 0.000 μB per atom; density = 14.32 g cm⁻³; space group = No. 6
1.0
3.959 0.000 0.000
0.000 2.888 0.065
0.000 1.618 6.501
Tl W Zn
1 2 1
Direct
0.500 0.692 0.746
0.000 0.022 0.042
0.500 0.205 0.254
0.000 0.581 0.457

Which one sits at the top of the stability order? Q does.

P:
ZrTlW2, optimized geometry, DFT PBE; spin magnetization = 0.000 μB per atom; density = 14.20 g cm⁻³; space group = No. 6
1.0
4.343 0.000 0.000
0.000 2.976 0.137
0.000 1.863 6.085
Tl W Zr
1 2 1
Direct
0.500 0.758 0.755
0.000 0.062 0.033
0.500 0.224 0.232
0.000 0.455 0.480

Q:
ZrTlW2, optimized geometry, DFT PBE; spin magnetization = 0.000 μB per atom; density = 14.41 g cm⁻³; space group = No. 12
1.0
5.430 -0.160 0.549
4.426 3.149 0.549
1.382 0.419 4.447
Tl W Zr
1 2 1
Direct
0.250 0.250 0.250
0.007 0.007 0.014
0.493 0.493 0.486
0.750 0.750 0.750

Which one sits at the top of the stability order? P does.